# AlVCrO6 | the Alexandria database | PBE+U | optimized geometry
data_AlVCrO6
_chemical_formula_sum 'Al2 V2 Cr2 O12'
_space_group_name_H-M_alt 'P 42 n m'
_space_group_IT_number 102
_cell_length_a 4.489
_cell_length_b 4.489
_cell_length_c 8.695
_cell_angle_alpha 90.00
_cell_angle_beta 90.00
_cell_angle_gamma 90.00
loop_
_space_group_symop_operation_xyz
'x,y,z'
'-y+1/2,x+1/2,z+1/2'
'-x,-y,z'
'y+1/2,-x+1/2,z+1/2'
'-x+1/2,y+1/2,z+1/2'
'y,x,z'
'x+1/2,-y+1/2,z+1/2'
'-y,-x,z'
loop_
_atom_site_label
_atom_site_fract_x
_atom_site_fract_y
_atom_site_fract_z
_atom_site_occupancy
Al1 0.000 0.000 0.000 1
V1 0.000 0.000 0.338 1
Cr1 0.000 0.000 0.669 1
O1 0.196 0.196 0.167 1
O2 0.198 0.198 0.835 1
O3 0.199 0.199 0.493 1
# * DOS(E_F): 0.019 states/eV/atom
# * energy: -7.406 eV/atom
# * size of the total moment: 2.00 μB/f.u.
# * volume: 175.2 Å³/cell